This record from Alexandria via LeMat-Bulk describes Sb2As2I after structural relaxation. The functional is PBE-GGA.

abc: 8.628 8.628 3.624
angles: 90.00 90.00 90.00
Fractional coordinates of all 10 atoms:
As  0.871  0.371  0.500
Sb  0.358  0.858  0.000
Sb  0.642  0.142  0.000
I  0.000  0.000  0.000
Sb  0.858  0.642  0.000
As  0.629  0.871  0.500
Sb  0.142  0.358  0.000
As  0.129  0.629  0.500
As  0.371  0.129  0.500
I  0.500  0.500  0.000

Its density of states at the Fermi level is 4.45 states/eV per cell. Its crystal system is tetragonal. The calculation puts the offset from the most stable computed form at 200.7 meV per atom.